[1]
{
  "formula": "YCr2W",
  "functional": "PBE-GGA",
  "state": "relaxed",
  "magmom_total_mub_per_fu": 0.0,
  "e_form_ev_per_atom": 0.703,
  "space_group": "No. 71",
  "volume_a3_per_cell": 67.0,
  "cell": [[-1.705, -4.711, -1.250], [2.620, -1.909, -4.019], [0.486, 1.666, 4.863]],
  "species": ["Cr", "Cr", "W", "Y"],
  "fractional_positions": [[0.479, 0.479, 0.000], [0.021, 0.021, 0.000], [0.250, 0.750, 0.500], [0.750, 0.250, 0.500]]
}

[2]
{
  "formula": "BaAlSi2Se",
  "functional": "PBE-GGA",
  "state": "relaxed",
  "magmom_total_mub_per_fu": 0.0,
  "e_form_raw_ev_per_atom": 1.321,
  "space_group": "No. 123",
  "volume_a3_per_cell": 205.8,
  "cell": [[5.865, 0.000, 0.000], [0.000, 5.982, 0.000], [0.000, 0.000, 5.865]],
  "species": ["Se", "Si", "Si", "Al", "Ba"],
  "fractional_positions": [[0.000, 0.500, 0.000], [0.500, 0.000, 0.000], [0.000, 0.000, 0.500], [0.500, 0.500, 0.500], [0.000, 0.000, 0.000]]
}

[3]
{
  "formula": "LiLa2Zn",
  "functional": "PBE-GGA",
  "state": "relaxed",
  "magmom_total_mub_per_fu": 0.0,
  "e_form_ev_per_atom": -0.019,
  "space_group": "No. 119",
  "volume_a3_per_cell": 107.7,
  "cell": [[6.164, -0.003, 0.000], [2.850, 5.465, 0.000], [-4.507, -2.731, 3.197]],
  "species": ["La", "La", "Li", "Zn"],
  "fractional_positions": [[0.250, 0.750, 0.500], [0.000, 0.000, 0.000], [0.500, 0.500, 0.000], [0.750, 0.250, 0.500]]
}

[4]
{
  "formula": "Rb2AgPt2",
  "functional": "PBE-GGA",
  "state": "relaxed",
  "magmom_total_mub_per_fu": 0.0,
  "e_form_ev_per_atom": -0.037,
  "space_group": "No. 71",
  "volume_a3_per_cell": 140.4,
  "cell": [[-5.027, -1.241, 1.110], [0.483, -4.135, -2.437], [-0.633, -5.208, 3.939]],
  "species": ["Pt", "Pt", "Ag", "Rb", "Rb"],
  "fractional_positions": [[0.743, 0.500, 0.000], [0.257, 0.500, 0.000], [0.000, 0.000, 0.000], [0.701, 0.201, 0.597], [0.299, 0.799, 0.403]]
}

[5]
{
  "formula": "HgPbAuF2",
  "functional": "PBE-GGA",
  "state": "relaxed",
  "magmom_total_mub_per_fu": 0.0,
  "e_form_raw_ev_per_atom": -0.576,
  "space_group": "No. 123",
  "volume_a3_per_cell": 113.1,
  "cell": [[4.510, 0.000, 0.000], [0.000, 5.560, 0.000], [0.000, 0.000, 4.510]],
  "species": ["Hg", "Pb", "Au", "F", "F"],
  "fractional_positions": [[0.000, 0.500, 0.000], [0.500, 0.500, 0.500], [0.000, 0.000, 0.000], [0.500, 0.000, 0.000], [0.000, 0.000, 0.500]]
}

[6]
{
  "formula": "YBeCuSi2",
  "functional": "PBE-GGA",
  "state": "relaxed",
  "magmom_total_mub_per_fu": 0.0,
  "e_form_raw_ev_per_atom": -0.476,
  "space_group": "No. 119",
  "volume_a3_per_cell": 76.3,
  "cell": [[-2.044, -2.195, 2.551], [3.336, -0.932, 1.872], [-1.196, 5.477, 0.717]],
  "species": ["Y", "Cu", "Si", "Si", "Be"],
  "fractional_positions": [[0.000, 0.000, 0.000], [0.250, 0.750, 0.500], [0.380, 0.380, 0.760], [0.620, 0.620, 0.240], [0.750, 0.250, 0.500]]
}